## i
Sn3BiAu3 | PBE | optimized geometry

Cell: 7.6366 7.6366 7.6366 Å, 90.00 90.00 90.00°
Last column: nearest neighbours and their distance in Å.
Element x y z (fractional)
Au (0.0000, 0.2500, 0.5000)  4 Sn 2.70
Au (0.0000, 0.7500, 0.5000)  4 Sn 2.70
Au (0.5000, 0.0000, 0.7500)  4 Sn 2.70
Au (0.7500, 0.5000, 0.0000)  4 Sn 2.70
Au (0.5000, 0.0000, 0.2500)  4 Sn 2.70
Au (0.2500, 0.5000, 0.0000)  4 Sn 2.70
Bi (0.5000, 0.5000, 0.5000)  12 Sn 4.27, 12 Au 4.27
Bi (0.0000, 0.0000, 0.0000)  12 Au 4.27, 12 Sn 4.27
Sn (0.2500, 0.0000, 0.5000)  4 Au 2.70
Sn (0.0000, 0.5000, 0.2500)  4 Au 2.70
Sn (0.5000, 0.7500, 0.0000)  4 Au 2.70
Sn (0.7500, 0.0000, 0.5000)  4 Au 2.70
Sn (0.0000, 0.5000, 0.7500)  4 Au 2.70
Sn (0.5000, 0.2500, 0.0000)  4 Au 2.70

Computed properties:
SG: Pm-3n, No. 223
Crystal system: cubic
Density (g/cm3): 8.62

---

## ii
Sn3BiAu3 | PBE | optimized geometry

Cell: 7.8708 7.8708 7.8708 Å, 64.47 64.47 64.47°
Last column: nearest neighbours and their distance in Å.
Element x y z (fractional)
Sn (0.7910, 0.4044, 0.1037)  4 Au 2.80-2.90
Sn (0.1037, 0.7910, 0.4044)  4 Au 2.80-2.90
Sn (0.4044, 0.1037, 0.7910)  4 Au 2.80-2.90
Sn (0.5956, 0.8963, 0.2090)  4 Au 2.80-2.90
Sn (0.8963, 0.2090, 0.5956)  4 Au 2.80-2.90
Sn (0.2090, 0.5956, 0.8963)  4 Au 2.80-2.90
Bi (0.3344, 0.3344, 0.3344)  6 Au 3.09-3.12, 3 Sn 3.43
Bi (0.6656, 0.6656, 0.6656)  6 Au 3.09-3.12, 3 Sn 3.43
Au (0.5666, 0.2691, 0.9242)  4 Sn 2.80-2.90, 2 Bi 3.09-3.12
Au (0.2691, 0.9242, 0.5666)  4 Sn 2.80-2.90, 2 Bi 3.09-3.12
Au (0.9242, 0.5666, 0.2691)  4 Sn 2.80-2.90, 2 Bi 3.09-3.12
Au (0.0758, 0.4334, 0.7309)  4 Sn 2.80-2.90, 2 Bi 3.09-3.12
Au (0.7309, 0.0758, 0.4334)  4 Sn 2.80-2.90, 2 Bi 3.09-3.12
Au (0.4334, 0.7309, 0.0758)  4 Sn 2.80-2.90, 2 Bi 3.09-3.12

Computed properties:
SG: R-3, No. 148
Crystal system: trigonal
Density (g/cm3): 10.14

---

How do the energies compare? Relative to the most stable structure, in kJ/mol of atoms: i 31.1; ii 0.0.

---

## i
SrBi3Au3 | PBE | optimized geometry

Cell: 8.7222 8.7222 8.0929 Å, 57.39 57.39 60.00°
Last column: nearest neighbours and their distance in Å.
Element x y z (fractional)
Sr (0.3322, 0.3322, 0.0034)  6 Au 3.21-3.26, 6 Bi 3.48-3.49
Sr (0.6678, 0.6678, 0.9966)  6 Au 3.21-3.26, 6 Bi 3.48-3.49
Bi (0.3951, 0.7826, 0.7297)  4 Au 2.91-3.03
Bi (0.7826, 0.0926, 0.7297)  4 Au 2.91-3.03
Bi (0.0926, 0.3951, 0.7297)  4 Au 2.91-3.03
Bi (0.9074, 0.6049, 0.2703)  4 Au 2.91-3.03
Bi (0.2174, 0.9074, 0.2703)  4 Au 2.91-3.03
Bi (0.6049, 0.2174, 0.2703)  4 Au 2.91-3.03
Au (0.2716, 0.5581, 0.2527)  4 Bi 2.91-3.03, 2 Sr 3.21-3.26
Au (0.9177, 0.2716, 0.2527)  4 Bi 2.91-3.03, 2 Sr 3.21-3.26
Au (0.5581, 0.9177, 0.2527)  4 Bi 2.91-3.03, 2 Sr 3.21-3.26
Au (0.4419, 0.0823, 0.7473)  4 Bi 2.91-3.03, 2 Sr 3.21-3.26
Au (0.0823, 0.7284, 0.7473)  4 Bi 2.91-3.03, 2 Sr 3.21-3.26
Au (0.7284, 0.4419, 0.7473)  4 Bi 2.91-3.03, 2 Sr 3.21-3.26

Computed properties:
SG: R-3, No. 148
Crystal system: trigonal
Density (g/cm3): 10.39

---

## ii
SrBi3Au3 | PBE | optimized geometry

Cell: 4.8599 9.6612 9.6619 Å, 120.00 90.00 90.00°
Last column: nearest neighbours and their distance in Å.
Element x y z (fractional)
Sr (0.7500, 0.3334, 0.6667)  9 Au 3.37-3.38
Sr (0.2500, 0.6666, 0.3333)  9 Au 3.37-3.38
Bi (0.7500, 0.7674, 0.0588)  4 Au 2.90-3.14
Bi (0.7500, 0.2914, 0.2326)  4 Au 2.90-3.14
Bi (0.7500, 0.9412, 0.7086)  4 Au 2.90-3.14
Bi (0.2500, 0.2326, 0.9412)  4 Au 2.90-3.14
Bi (0.2500, 0.7086, 0.7674)  4 Au 2.90-3.14
Bi (0.2500, 0.0588, 0.2914)  4 Au 2.90-3.14
Au (0.7500, 0.9357, 0.4053)  4 Bi 2.90-3.14, 2 Au 2.92
Au (0.7500, 0.4696, 0.0643)  4 Bi 2.90-3.14, 2 Au 2.92
Au (0.7500, 0.5947, 0.5303)  4 Bi 2.90-3.14, 2 Au 2.92
Au (0.2500, 0.0643, 0.5947)  4 Bi 2.90-3.14, 2 Au 2.92
Au (0.2500, 0.5304, 0.9357)  4 Bi 2.90-3.14, 2 Au 2.92
Au (0.2500, 0.4053, 0.4697)  4 Bi 2.90-3.14, 2 Au 2.92

Computed properties:
SG: P6_3/m, No. 176
Crystal system: hexagonal
Density (g/cm3): 11.04

---

How do the energies compare? Relative to the most stable structure, in kJ/mol of atoms: i 12.6; ii 0.0.

---

## i
Sr3BiAu | PBE | optimized geometry

Cell: 5.9383 5.9383 5.9383 Å, 90.00 90.00 90.00°
Last column: nearest neighbours and their distance in Å.
Element x y z (fractional)
Sr (0.0000, 0.5000, 0.0000)  2 Au 2.97
Sr (0.0000, 0.0000, 0.5000)  2 Au 2.97
Sr (0.5000, 0.0000, 0.0000)  2 Au 2.97
Au (0.0000, 0.0000, 0.0000)  6 Sr 2.97
Bi (0.5000, 0.5000, 0.5000)  12 Sr 4.20

Computed properties:
SG: Pm-3m, No. 221
Crystal system: cubic
Density (g/cm3): 5.30

---

## ii
Sr3BiAu | PBE | optimized geometry

Cell: 4.7367 9.4817 9.4891 Å, 68.54 90.00 90.00°
Last column: nearest neighbours and their distance in Å.
Element x y z (fractional)
Sr (0.8637, 0.3853, 0.8124)  2 Au 3.18
Sr (0.8638, 0.0030, 0.6804)  2 Au 3.18
Sr (0.8627, 0.6274, 0.0557)  2 Au 3.18
Sr (0.3633, 0.0418, 0.0937)  2 Au 3.08, 2 Bi 3.37
Sr (0.8626, 0.7608, 0.4371)  2 Au 3.18
Sr (0.3633, 0.3467, 0.3992)  2 Au 3.08, 2 Bi 3.37
Bi (0.3632, 0.6941, 0.7465)  8 Sr 3.64
Bi (0.8633, 0.1940, 0.2466)  4 Sr 3.37
Au (0.3625, 0.6942, 0.2463)  6 Sr 3.08-3.18
Au (0.3638, 0.1942, 0.7464)  6 Sr 3.08-3.18

Computed properties:
SG: Cmmm, No. 65
Crystal system: orthorhombic
Density (g/cm3): 5.60

---

How do the energies compare? Relative to the most stable structure, in kJ/mol of atoms: i 15.2; ii 0.0.